# GGA-PBE Ho3Tl3InS8, optimized geometry
data_Ho3Tl3InS8
_symmetry_space_group_name_H-M 'R -3 m'
_symmetry_Int_Tables_number 166
_symmetry_space_group_name_Hall '-R 3 2"'
_cell_length_a 7.9519
_cell_length_b 7.9519
_cell_length_c 22.0281
_cell_angle_alpha 90.00
_cell_angle_beta 90.00
_cell_angle_gamma 120.00
loop_
_atom_site_label
_atom_site_type_symbol
_atom_site_fract_x
_atom_site_fract_y
_atom_site_fract_z
_atom_site_occupancy
Ho1 Ho 0.0000 0.5000 0.0000 1
Tl1 Tl 0.0000 0.5000 0.5000 1
In1 In 0.0000 0.0000 0.0000 1
S1 S 0.0000 0.0000 0.2660 1
S2 S 0.0063 0.5032 0.7330 1
# VASP energy, eV/atom: -4.993
# Magnetization, μB per atom: 0.000
# Crystal system: trigonal